# 1
Computed, not measured: Cs2Na4Tl after structural relaxation at the PBE-GGA level of DFT.

E_form ... 0.05 eV/atom
Calculated density ... 2.29 g/cm3
DFT total energy ... -1.289 eV per atom

```
7
Lattice="8.065 0.000 0.000 0.000 5.460 0.000 -1.065 0.000 9.240" Properties=species:S:1:pos:R:3 pbc="T T T"
Cs 1.225 0.000 2.551
Cs 5.775 0.000 6.690
Na 1.730 0.000 8.017
Na 2.272 2.730 5.980
Na 4.728 2.730 3.260
Na 5.270 0.000 1.223
Tl 4.032 2.730 0.000
```


# 2
Computed, not measured: LaPb2Br after structural relaxation at the PBE-GGA level of DFT.

Calculated density ... 8.23 g/cm3
Raw formation energy ... -0.1899 eV per atom
DFT total energy ... -3.694 eV per atom

```
4
Lattice="1.866 1.077 10.587 -1.866 1.077 10.587 0.000 -2.155 10.587" Properties=species:S:1:pos:R:3 pbc="T T T"
La 0.000 0.000 0.000
Pb 0.000 0.000 7.742
Pb 0.000 0.000 24.020
Br 0.000 0.000 15.881
```


# 3
Computed, not measured: CdGaTe3 after structural relaxation at the PBE-GGA level of DFT.

Calculated density ... 5.52 g/cm3
Raw formation energy ... -0.1623 eV per atom
DFT total energy ... -2.836 eV per atom

```
10
Lattice="7.482 0.000 0.000 0.000 4.252 0.000 -1.561 0.000 10.677" Properties=species:S:1:pos:R:3 pbc="T T T"
Cd 1.106 1.063 1.429
Cd 4.814 3.189 9.248
Ga 1.289 1.063 7.028
Ga 4.632 3.189 3.649
Te -0.692 1.063 9.007
Te 1.059 3.189 5.488
Te 3.074 3.189 1.518
Te 2.847 1.063 9.159
Te 4.862 1.063 5.189
Te 6.612 3.189 1.670
```


# 4
Computed, not measured: KH4Ru after structural relaxation at the PBE-GGA level of DFT.

Calculated density ... 3.08 g/cm3
DFT total energy ... -4.049 eV per atom

```
12
Lattice="3.575 -5.143 0.000 3.575 5.143 0.000 -2.224 0.000 4.221" Properties=species:S:1:pos:R:3 pbc="T T T"
K 1.907 3.487 3.166
K 3.019 -3.487 1.055
H 2.041 1.771 1.100
H 0.457 0.682 3.582
H 1.569 -0.682 1.471
H 3.998 1.771 1.011
H 0.928 -1.771 3.211
H 3.357 0.682 2.750
H 4.469 -0.682 0.640
H 2.886 -1.771 3.121
Ru 3.019 0.488 1.055
Ru 1.907 -0.488 3.166
```


# 5
Computed, not measured: ScTeOsI2 after structural relaxation at the PBE-GGA level of DFT.

Calculated density ... 6.80 g/cm3
Raw formation energy ... 0.5682 eV per atom
DFT total energy ... -4.192 eV per atom

```
5
Lattice="5.371 0.000 0.000 0.000 5.371 0.000 0.000 0.000 5.220" Properties=species:S:1:pos:R:3 pbc="T T T"
Sc 0.000 0.000 0.000
Te 2.686 2.686 0.000
Os 2.686 2.686 2.610
I 0.000 2.686 2.610
I 2.686 0.000 2.610
```


# 6
Computed, not measured: Pr3AgHg2 after structural relaxation at the PBE-GGA level of DFT.

E_form ... -0.40 eV/atom
Calculated density ... 9.13 g/cm3
DFT total energy ... -3.362 eV per atom

```
6
Lattice="3.848 0.000 0.000 0.000 3.848 0.000 0.000 0.000 11.441" Properties=species:S:1:pos:R:3 pbc="T T T"
Pr 0.000 0.000 0.000
Pr 0.000 0.000 3.850
Pr 0.000 0.000 7.592
Ag 1.924 1.924 5.721
Hg 1.924 1.924 1.926
Hg 1.924 1.924 9.516
```


# 7
Computed, not measured: K4Pr3TmO8 after structural relaxation at the PBE-GGA level of DFT.

Calculated density ... 5.09 g/cm3
Raw formation energy ... -2.6213 eV per atom
DFT total energy ... -6.550 eV per atom

```
16
Lattice="3.616 2.088 6.306 -3.616 2.088 6.306 0.000 -4.176 6.306" Properties=species:S:1:pos:R:3 pbc="T T T"
K 0.000 0.000 0.000
K -1.808 -1.044 6.306
K -1.808 1.044 12.613
K 0.000 2.088 6.306
Pr -3.616 0.000 9.460
Pr -1.808 1.044 3.153
Pr 1.808 1.044 3.153
Tm 0.000 0.000 9.460
O 0.000 0.000 4.372
O -1.731 -0.999 10.648
O 0.000 -1.998 8.271
O -1.731 0.999 8.271
O 1.731 -0.999 10.648
O 0.000 1.998 10.648
O 1.731 0.999 8.271
O 0.000 0.000 14.547
```


# 8
Computed, not measured: ZrReSe after structural relaxation at the PBE-GGA level of DFT.

Calculated density ... 9.27 g/cm3
Raw formation energy ... 0.5699 eV per atom
DFT total energy ... -7.590 eV per atom

```
3
Lattice="0.000 3.172 3.172 3.172 0.000 3.172 3.172 3.172 0.000" Properties=species:S:1:pos:R:3 pbc="T T T"
Zr 0.000 0.000 0.000
Re 1.586 1.586 1.586
Se 4.758 4.758 4.758
```


# 9
Computed, not measured: Mn2H2Pb after structural relaxation at the PBE-GGA level of DFT.

Calculated density ... 8.82 g/cm3
DFT total energy ... -5.580 eV per atom

```
5
Lattice="-1.747 1.747 4.920 1.747 -1.747 4.920 1.747 1.747 -4.920" Properties=species:S:1:pos:R:3 pbc="T T T"
Mn 0.000 0.000 1.889
Mn 0.000 0.000 7.950
H 1.747 0.000 2.460
H 0.000 1.747 2.460
Pb 0.000 0.000 4.920
```


# 10
Computed, not measured: CaCoH3 after structural relaxation at the PBE-GGA level of DFT.

Calculated density ... 3.88 g/cm3
DFT total energy ... -4.084 eV per atom

```
20
Lattice="3.671 -4.931 0.000 3.671 4.931 0.000 0.000 0.000 4.830" Properties=species:S:1:pos:R:3 pbc="T T T"
Ca 1.835 1.352 1.208
Ca 1.835 -1.352 3.623
Ca 5.506 1.352 1.208
Ca 5.506 -1.352 3.623
Co 3.671 3.832 1.417
Co 3.671 1.098 3.832
Co 3.671 -1.098 0.998
Co 3.671 -3.832 3.413
H 3.671 4.454 3.053
H 1.835 1.106 3.623
H 3.671 2.588 0.130
H 3.671 2.342 2.545
H 1.835 -1.106 1.208
H 3.671 0.477 0.638
H 3.671 -0.477 4.192
H 5.506 1.106 3.623
H 3.671 -2.342 2.285
H 3.671 -2.588 4.700
H 5.506 -1.106 1.208
H 3.671 -4.454 1.777
```


# 11
Computed, not measured: Ta2Be9Mo after structural relaxation at the PBE-GGA level of DFT.

E_form ... -0.23 eV/atom
Calculated density ... 7.28 g/cm3
DFT total energy ... -5.903 eV per atom

```
12
Lattice="2.256 1.303 6.966 -2.256 1.303 6.966 0.000 -2.605 6.966" Properties=species:S:1:pos:R:3 pbc="T T T"
Ta 0.000 0.000 2.932
Ta 0.000 0.000 17.965
Be -1.145 -0.661 8.648
Be 0.000 0.000 6.988
Be 0.000 -1.322 12.249
Be -1.145 0.661 12.249
Be 0.000 0.000 10.449
Be 1.145 -0.661 8.648
Be 0.000 1.322 8.648
Be 0.000 0.000 13.909
Be 1.145 0.661 12.249
Mo 0.000 0.000 0.000
```


# 12
Computed, not measured: MgZr2Cd after structural relaxation at the PBE-GGA level of DFT.

E_form ... 0.00 eV/atom
Calculated density ... 5.94 g/cm3
DFT total energy ... -4.905 eV per atom

```
4
Lattice="3.158 0.000 0.000 0.000 4.599 0.000 -1.432 0.000 6.145" Properties=species:S:1:pos:R:3 pbc="T T T"
Mg 0.000 0.000 0.000
Zr 0.001 0.000 3.065
Zr 1.569 2.299 1.490
Cd 1.558 2.299 4.570
```